VASP calculation (PBE) on a relaxed Pm6PuN8 crystal.

Output
The density of states at the Fermi level is 0.49 states/eV per atom. As for the spin magnetization: 2.0 Bohr magnetons per cell. The value obtained for the total energy is -8.384 eV/atom.

a = 6.5438 Å, b = 6.5438 Å, c = 6.5438 Å
α = 69.54°, β = 69.54°, γ = 69.54°
With the nearest neighbours (Å) after each atom.
Fractional coordinates of all 15 atoms:
N1 0.1646 0.6773 0.9034  1 Pu 2.21, 1 Pm 2.44
Pm1 0.7077 0.0525 0.4946  4 N 2.39-2.63
Pm2 0.2923 0.9475 0.5054  4 N 2.39-2.63
Pm3 0.4946 0.7077 0.0525  4 N 2.39-2.63
Pu1 0.0000 0.0000 0.0000  6 N 2.21
Pm4 0.0525 0.4946 0.7077  4 N 2.39-2.63
N2 0.6773 0.9034 0.1646  1 Pu 2.21, 1 Pm 2.44
N3 0.3227 0.0966 0.8354  1 Pu 2.21, 1 Pm 2.44
N4 0.9034 0.1646 0.6773  1 Pu 2.21, 1 Pm 2.44
Pm5 0.5054 0.2923 0.9475  4 N 2.39-2.63
N5 0.0966 0.8354 0.3227  1 Pu 2.21, 1 Pm 2.44
N6 0.8354 0.3227 0.0966  1 Pu 2.21, 1 Pm 2.44
N7 0.3253 0.3253 0.3253  3 Pm 2.39
N8 0.6747 0.6747 0.6747  3 Pm 2.39
Pm6 0.9475 0.5054 0.2923  4 N 2.39-2.63

VASP calculation (PBE) on a relaxed Pm5PuN4 crystal.

Output
The density of states at the Fermi level is 1.06 states/eV per atom. As for the spin magnetization: 5.1 Bohr magnetons per cell. The value obtained for the total energy is -8.217 eV/atom.

a = 3.5660 Å, b = 7.3207 Å, c = 8.0841 Å
α = 102.36°, β = 102.74°, γ = 90.00°
With the nearest neighbours (Å) after each atom.
Fractional coordinates of all 10 atoms:
N1 0.9996 0.7665 0.9992  4 Pm 2.42-2.64, 2 Pu 2.47
N2 0.0004 0.2335 0.0008  4 Pm 2.42-2.64, 2 Pu 2.47
Pm1 0.8420 0.6924 0.6841  3 N 2.42-2.45
Pm2 0.1580 0.3076 0.3159  3 N 2.42-2.45
Pu1 0.5000 0.0000 0.0000  6 N 2.47-2.52
Pm3 0.1648 0.8488 0.3295  4 N 2.46-2.64
Pm4 0.8352 0.1512 0.6705  4 N 2.46-2.64
Pm5 0.5000 0.5000 0.0000  4 N 2.64
N3 0.3361 0.9192 0.6723  5 Pm 2.45-2.64, 1 Pu 2.52
N4 0.6639 0.0808 0.3277  5 Pm 2.45-2.64, 1 Pu 2.52

VASP calculation (PBE) on a relaxed PmPu2ReN4 crystal.

Output
The density of states at the Fermi level is 1.18 states/eV per atom. As for the spin magnetization: 16.0 Bohr magnetons per cell. The value obtained for the total energy is -10.804 eV/atom.

a = 3.3371 Å, b = 6.1648 Å, c = 11.6072 Å
α = 90.00°, β = 90.00°, γ = 105.70°
With the nearest neighbours (Å) after each atom.
Fractional coordinates of all 16 atoms:
Pu1 0.6318 0.2636 0.0463  5 N 2.30-2.48
Pu2 0.3682 0.7364 0.9537  5 N 2.30-2.48
Pm1 0.8848 0.7695 0.2500  6 N 2.48-2.63
N1 0.2668 0.5336 0.1228  1 Re 2.06, 1 Pu 2.30
N2 0.7332 0.4664 0.8772  1 Re 2.06, 1 Pu 2.30
Pm2 0.1152 0.2305 0.7500  6 N 2.48-2.63
N3 0.4602 0.9204 0.7500  2 Re 2.09
N4 0.7332 0.4664 0.6228  1 Re 2.06, 1 Pu 2.30
N5 0.2668 0.5336 0.3772  1 Re 2.06, 1 Pu 2.30
N6 0.0000 0.0000 0.0000  4 Pu 2.35
N7 0.0000 0.0000 0.5000  4 Pu 2.35
Pu3 0.6318 0.2636 0.4537  5 N 2.30-2.48
Re1 0.1461 0.2922 0.2500  4 N 2.06-2.09
Re2 0.8539 0.7078 0.7500  4 N 2.06-2.09
Pu4 0.3682 0.7364 0.5463  5 N 2.30-2.48
N8 0.5398 0.0796 0.2500  2 Re 2.09

VASP calculation (PBE) on a relaxed PmPu2RuN4 crystal.

Output
The density of states at the Fermi level is 1.56 states/eV per atom. As for the spin magnetization: 16.0 Bohr magnetons per cell. The value obtained for the total energy is -10.422 eV/atom.

a = 3.3816 Å, b = 6.0789 Å, c = 11.5866 Å
α = 90.00°, β = 90.00°, γ = 106.15°
With the nearest neighbours (Å) after each atom.
Fractional coordinates of all 16 atoms:
N1 0.0000 0.0000 0.0000  4 Pu 2.35
N2 0.2685 0.5369 0.3823  1 Ru 2.08, 1 Pu 2.28
Pm1 0.1122 0.2245 0.7500  6 N 2.49-2.67
Ru1 0.8523 0.7045 0.7500  4 N 2.08
Pm2 0.8878 0.7755 0.2500  6 N 2.49-2.67
N3 0.7315 0.4631 0.8823  1 Ru 2.08, 1 Pu 2.28
Ru2 0.1477 0.2955 0.2500  4 N 2.08
N4 0.4560 0.9120 0.7500  2 Ru 2.08
Pu1 0.6308 0.2616 0.0505  6 N 2.28-2.52
Pu2 0.6308 0.2616 0.4495  6 N 2.28-2.52
N5 0.0000 0.0000 0.5000  4 Pu 2.35
Pu3 0.3692 0.7384 0.5505  6 N 2.28-2.52
N6 0.5440 0.0880 0.2500  2 Ru 2.08
N7 0.7315 0.4631 0.6177  1 Ru 2.08, 1 Pu 2.28
N8 0.2685 0.5369 0.1177  1 Ru 2.08, 1 Pu 2.28
Pu4 0.3692 0.7384 0.9495  6 N 2.28-2.52

VASP calculation (PBE) on a relaxed Pm2PuRuN4 crystal.

Output
The density of states at the Fermi level is 0.87 states/eV per atom. As for the spin magnetization: 8.0 Bohr magnetons per cell. The value obtained for the total energy is -9.113 eV/atom.

a = 3.3810 Å, b = 6.1222 Å, c = 11.9147 Å
α = 90.00°, β = 90.00°, γ = 106.03°
With the nearest neighbours (Å) after each atom.
Fractional coordinates of all 16 atoms:
N1 0.0000 0.0000 0.5000  4 Pm 2.36
Pm1 0.6312 0.2624 0.0480  3 N 2.36-2.47
N2 0.0000 0.0000 0.0000  4 Pm 2.36
Pu1 0.1133 0.2266 0.7500  6 N 2.46-2.48
Pm2 0.3688 0.7376 0.5480  3 N 2.36-2.47
N3 0.5381 0.0762 0.2500  2 Ru 2.13
Ru1 0.1481 0.2962 0.2500  4 N 2.03-2.13
Pm3 0.6312 0.2624 0.4520  3 N 2.36-2.47
N4 0.4619 0.9238 0.7500  2 Ru 2.13
N5 0.2800 0.5599 0.3601  1 Ru 2.03
Ru2 0.8519 0.7038 0.7500  4 N 2.03-2.13
N6 0.7200 0.4401 0.8601  1 Ru 2.03
Pu2 0.8867 0.7734 0.2500  6 N 2.46-2.48
Pm4 0.3688 0.7376 0.9520  3 N 2.36-2.47
N7 0.2800 0.5599 0.1399  1 Ru 2.03
N8 0.7200 0.4401 0.6399  1 Ru 2.03

VASP calculation (PBE) on a relaxed Pm2PuS2N2 crystal.

Output
The density of states at the Fermi level is 0.74 states/eV per atom. As for the spin magnetization: 4.0 Bohr magnetons per cell. The value obtained for the total energy is -8.515 eV/atom.

a = 4.2722 Å, b = 4.2722 Å, c = 7.9662 Å
α = 105.55°, β = 105.55°, γ = 90.00°
With the nearest neighbours (Å) after each atom.
Fractional coordinates of all 7 atoms:
Pu1 0.0000 0.0000 0.0000  4 N 2.14
S1 0.1828 0.1828 0.3656  1 Pu 2.69, 1 Pm 2.84
Pm1 0.6244 0.6244 0.2487  4 N 2.81, 5 S 2.84-3.14
N1 0.5000 0.0000 0.0000  2 Pu 2.14
S2 0.8172 0.8172 0.6344  1 Pu 2.69, 1 Pm 2.84
Pm2 0.3756 0.3756 0.7513  4 N 2.81, 5 S 2.84-3.14
N2 0.0000 0.5000 0.0000  2 Pu 2.14

VASP calculation (PBE) on a relaxed Pm2Pu4Sb3N2 crystal.

Output
The density of states at the Fermi level is 2.17 states/eV per atom. As for the spin magnetization: 22.5 Bohr magnetons per cell. The value obtained for the total energy is -9.691 eV/atom.

a = 4.6275 Å, b = 4.6275 Å, c = 13.4995 Å
α = 99.87°, β = 99.87°, γ = 90.00°
With the nearest neighbours (Å) after each atom.
Fractional coordinates of all 11 atoms:
Pm1 0.3042 0.3042 0.6085  1 N 2.39
Sb1 0.0000 0.0000 0.0000  8 Pu 3.21
N1 0.6044 0.6044 0.2087  4 Pu 2.37, 1 Pm 2.39
Pu1 0.0849 0.5849 0.1699  2 N 2.37
Pu2 0.5849 0.0849 0.1699  2 N 2.37
N2 0.3956 0.3956 0.7913  4 Pu 2.37, 1 Pm 2.39
Sb2 0.8213 0.8213 0.6425  5 Pm 3.29-3.30, 4 Pu 3.37
Pm2 0.6958 0.6958 0.3915  1 N 2.39
Pu3 0.4151 0.9151 0.8301  2 N 2.37
Sb3 0.1787 0.1787 0.3575  5 Pm 3.29-3.30, 4 Pu 3.37
Pu4 0.9151 0.4151 0.8301  2 N 2.37

VASP calculation (PBE) on a relaxed PmSmPu2N4 crystal.

Output
The density of states at the Fermi level is 1.63 states/eV per atom. As for the spin magnetization: 9.3 Bohr magnetons per cell. The value obtained for the total energy is -10.301 eV/atom.

a = 3.5353 Å, b = 6.1234 Å, c = 6.0974 Å
α = 109.56°, β = 90.00°, γ = 90.00°
With the nearest neighbours (Å) after each atom.
Fractional coordinates of all 8 atoms:
N1 0.5000 0.7414 0.7279  3 Pu 2.42-2.43, 1 Sm 2.57, 2 Pm 2.57
Sm1 0.5000 0.5000 0.0000  6 N 2.56-2.57
Pm1 0.0000 0.0000 0.0000  6 N 2.57
Pu1 0.5000 0.0000 0.5000  6 N 2.43
N2 0.0000 0.7558 0.2712  3 Pu 2.42-2.43, 2 Sm 2.56, 1 Pm 2.57
N3 0.0000 0.2442 0.7288  3 Pu 2.42-2.43, 2 Sm 2.56, 1 Pm 2.57
N4 0.5000 0.2586 0.2721  3 Pu 2.42-2.43, 1 Sm 2.57, 2 Pm 2.57
Pu2 0.0000 0.5000 0.5000  6 N 2.42

VASP calculation (PBE) on a relaxed Pm2Sm3PuN6 crystal.

Output
The density of states at the Fermi level is 0.59 states/eV per atom. As for the spin magnetization: 4.4 Bohr magnetons per cell. The value obtained for the total energy is -8.759 eV/atom.

a = 6.1811 Å, b = 6.1811 Å, c = 6.1820 Å
α = 99.63°, β = 99.63°, γ = 119.94°
With the nearest neighbours (Å) after each atom.
Fractional coordinates of all 12 atoms:
Pm1 0.6664 0.3336 0.0000  6 N 2.54-2.55
N1 0.3967 0.0806 0.2422  1 Pu 2.41, 3 Sm 2.51-2.64, 2 Pm 2.54-2.55
N2 0.7632 0.7632 0.2435  1 Pu 2.43, 3 Sm 2.50-2.63, 2 Pm 2.54
Sm1 0.1659 0.8341 0.5000  6 N 2.50-2.64
N3 0.0806 0.3967 0.2422  1 Pu 2.41, 3 Sm 2.51-2.64, 2 Pm 2.54-2.55
N4 0.2368 0.2368 0.7565  1 Pu 2.43, 3 Sm 2.50-2.63, 2 Pm 2.54
Pu1 0.0000 0.0000 0.0000  6 N 2.41-2.43
N5 0.9194 0.6033 0.7578  1 Pu 2.41, 3 Sm 2.51-2.64, 2 Pm 2.54-2.55
Pm2 0.3336 0.6664 0.0000  6 N 2.54-2.55
N6 0.6033 0.9194 0.7578  1 Pu 2.41, 3 Sm 2.51-2.64, 2 Pm 2.54-2.55
Sm2 0.5000 0.5000 0.5000  6 N 2.51-2.63
Sm3 0.8341 0.1659 0.5000  6 N 2.50-2.64

VASP calculation (PBE) on a relaxed Pm3Sm2PuN6 crystal.

Output
The density of states at the Fermi level is 0.59 states/eV per atom. As for the spin magnetization: 4.3 Bohr magnetons per cell. The value obtained for the total energy is -8.756 eV/atom.

a = 6.1835 Å, b = 6.1835 Å, c = 6.1922 Å
α = 99.62°, β = 99.62°, γ = 119.94°
With the nearest neighbours (Å) after each atom.
Fractional coordinates of all 12 atoms:
N1 0.9206 0.6038 0.7613  1 Pu 2.40, 3 Pm 2.52-2.65, 2 Sm 2.53-2.54
Pm1 0.5000 0.5000 0.5000  6 N 2.52-2.63
N2 0.0794 0.3962 0.2387  1 Pu 2.40, 3 Pm 2.52-2.65, 2 Sm 2.53-2.54
Sm1 0.6664 0.3336 0.0000  6 N 2.53-2.54
Pm2 0.8337 0.1663 0.5000  6 N 2.52-2.65
Pm3 0.1663 0.8337 0.5000  6 N 2.52-2.65
Pu1 0.0000 0.0000 0.0000  6 N 2.40-2.42
N3 0.3962 0.0794 0.2387  1 Pu 2.40, 3 Pm 2.52-2.65, 2 Sm 2.53-2.54
N4 0.2384 0.2384 0.7594  1 Pu 2.42, 3 Pm 2.52-2.63, 2 Sm 2.53
N5 0.7616 0.7616 0.2406  1 Pu 2.42, 3 Pm 2.52-2.63, 2 Sm 2.53
N6 0.6038 0.9206 0.7613  1 Pu 2.40, 3 Pm 2.52-2.65, 2 Sm 2.53-2.54
Sm2 0.3336 0.6664 0.0000  6 N 2.53-2.54